(1)
RbB4Os: relaxed, GGA-PBE.

Cell: 5.3920 5.3920 5.3920 Å, 151.42 112.04 75.32°
Atoms (fractional coordinates):
Rb  0.5000  0.5000  0.0000
B  0.3525  0.7114  0.6411
Os  0.0000  0.0000  0.0000
B  0.0702  0.7114  0.3589
B  0.6475  0.2886  0.3589
B  0.9298  0.2886  0.6411

Results
Energy above the lowest structure with this stoichiometry ... 509 meV/atom

***

(2)
BSbOs: relaxed, GGA-PBE.

Cell: 3.9964 3.9964 3.9964 Å, 60.00 60.00 60.00°
Atoms (fractional coordinates):
B  0.0000  0.0000  0.0000
Sb  0.7500  0.7500  0.7500
Os  0.2500  0.2500  0.2500

Results
Energy above the lowest structure with this stoichiometry ... 0 meV/atom

***

(3)
B4SbOs: relaxed, GGA-PBE.

Cell: 4.8994 4.8994 4.8994 Å, 143.97 112.99 78.51°
Each line ends with the local moment (μB).
Atoms (fractional coordinates):
B  0.9214  0.2589  0.6625  0.02
B  0.5964  0.2589  0.3375  0.02
B  0.4036  0.7411  0.6625  0.02
B  0.0786  0.7411  0.3375  0.02
Sb  0.5000  0.5000  0.0000  0.00
Os  0.0000  0.0000  0.0000  0.49

Results
Energy above the lowest structure with this stoichiometry ... 255 meV/atom

***

(4)
B4SbOs: relaxed, GGA-PBE.

Cell: 2.9944 2.9944 8.4882 Å, 90.00 90.00 120.00°
Atoms (fractional coordinates):
B  0.3333  0.6667  0.2008
Sb  0.0000  0.0000  0.5000
B  0.6667  0.3333  0.2008
B  0.6667  0.3333  0.7992
Os  0.0000  0.0000  0.0000
B  0.3333  0.6667  0.7992

Results
Energy above the lowest structure with this stoichiometry ... 0 meV/atom

***

(5)
ScB2Os: relaxed, GGA-PBE.

Cell: 4.0610 4.0610 4.0610 Å, 60.00 60.00 60.00°
Atoms (fractional coordinates):
B  0.7500  0.7500  0.7500
B  0.5000  0.5000  0.5000
Os  0.2500  0.2500  0.2500
Sc  0.0000  0.0000  0.0000

Results
Energy above the lowest structure with this stoichiometry ... 1663 meV/atom

***

(6)
ScB4Os: relaxed, GGA-PBE.

Cell: 3.1031 3.1031 6.6224 Å, 90.00 90.00 120.00°
Atoms (fractional coordinates):
B  0.6667  0.3333  0.2422
B  0.6667  0.3333  0.7578
Os  0.0000  0.0000  0.0000
B  0.3333  0.6667  0.7578
B  0.3333  0.6667  0.2422
Sc  0.0000  0.0000  0.5000

Results
Energy above the lowest structure with this stoichiometry ... 301 meV/atom

***

(7)
ScB2Os: relaxed, GGA-PBE.

Cell: 5.6530 5.1956 6.1761 Å, 90.00 90.00 90.00°
Atoms (fractional coordinates):
B  0.6450  0.5809  0.5329
Os  0.6779  0.2500  0.3207
B  0.1450  0.5809  0.9671
B  0.1450  0.9191  0.9671
Os  0.1779  0.2500  0.1793
B  0.3550  0.0809  0.4671
B  0.8550  0.4191  0.0329
Sc  0.5113  0.2500  0.8289
Os  0.8221  0.7500  0.8207
Os  0.3221  0.7500  0.6793
Sc  0.0113  0.2500  0.6711
Sc  0.9887  0.7500  0.3289
B  0.3550  0.4191  0.4671
Sc  0.4887  0.7500  0.1711
B  0.8550  0.0809  0.0329
B  0.6450  0.9191  0.5329

Results
Energy above the lowest structure with this stoichiometry ... 0 meV/atom

***

(8)
ScB4Os: relaxed, GGA-PBE.

Cell: 5.8502 11.2839 3.4739 Å, 90.00 90.00 90.00°
Atoms (fractional coordinates):
B  0.6152  0.4509  0.5000
Os  0.3570  0.4054  0.0000
Sc  0.1291  0.6497  0.0000
B  0.1332  0.4710  0.5000
Sc  0.8709  0.3503  0.0000
Os  0.6430  0.5946  0.0000
Os  0.1430  0.9054  0.0000
Sc  0.3709  0.1497  0.0000
B  0.2042  0.3134  0.5000
B  0.1152  0.0491  0.5000
B  0.5220  0.3054  0.5000
B  0.9780  0.8054  0.5000
Os  0.8570  0.0946  0.0000
B  0.4780  0.6946  0.5000
B  0.6332  0.0290  0.5000
B  0.8848  0.9509  0.5000
B  0.3848  0.5491  0.5000
B  0.8668  0.5290  0.5000
B  0.2958  0.8134  0.5000
Sc  0.6291  0.8503  0.0000
B  0.3668  0.9710  0.5000
B  0.7042  0.1866  0.5000
B  0.7958  0.6866  0.5000
B  0.0220  0.1946  0.5000

Results
Energy above the lowest structure with this stoichiometry ... 0 meV/atom

***

(9)
ScBOs: relaxed, GGA-PBE.

Cell: 4.1307 4.1307 4.1307 Å, 60.00 60.00 60.00°
Atoms (fractional coordinates):
B  0.2500  0.2500  0.2500
Sc  0.0000  0.0000  0.0000
Os  0.7500  0.7500  0.7500

Results
Energy above the lowest structure with this stoichiometry ... 1427 meV/atom

***

(10)
ScBOs: relaxed, GGA-PBE.

Cell: 3.8906 3.8906 3.8906 Å, 60.00 60.00 60.00°
Atoms (fractional coordinates):
B  0.0000  0.0000  0.0000
Os  0.2500  0.2500  0.2500
Sc  0.7500  0.7500  0.7500

Results
Energy above the lowest structure with this stoichiometry ... 0 meV/atom

***

(11)
ScBOs2: relaxed, GGA-PBE.

Cell: 4.2860 4.2860 4.2860 Å, 60.00 60.00 60.00°
Atoms (fractional coordinates):
Sc  0.2500  0.2500  0.2500
B  0.5000  0.5000  0.5000
Os  0.7500  0.7500  0.7500
Os  0.0000  0.0000  0.0000

***

(12)
ScB2Os2: relaxed, GGA-PBE.

Cell: 5.1470 5.1470 5.1470 Å, 137.10 137.10 62.28°
Atoms (fractional coordinates):
B  0.3895  0.3895  0.0000
B  0.6105  0.6105  0.0000
Sc  0.0000  0.0000  0.0000
Os  0.2500  0.7500  0.5000
Os  0.7500  0.2500  0.5000

***

Number 1: calculated total energy -33.298 eV/cell, calculated volume 11.41 Å³ per atom. Number 2: calculated total energy -18.825 eV/cell, calculated volume 15.04 Å³ per atom. Number 3: calculated total energy -37.241 eV/cell, calculated volume 10.37 Å³ per atom. Number 4: calculated total energy -38.770 eV/cell, calculated volume 10.99 Å³ per atom. Number 5: calculated total energy -26.986 eV/cell, calculated volume 11.84 Å³ per atom. Number 6: calculated total energy -45.859 eV/cell, calculated volume 9.20 Å³ per atom. Number 7: calculated total energy -134.555 eV/cell, calculated volume 11.34 Å³ per atom. Number 8: calculated total energy -190.667 eV/cell, calculated volume 9.56 Å³ per atom. Number 9: calculated total energy -20.380 eV/cell, calculated volume 16.61 Å³ per atom. Number 10: calculated total energy -24.663 eV/cell, calculated volume 13.88 Å³ per atom. Number 11: calculated total energy -33.356 eV/cell, calculated volume 13.92 Å³ per atom. Number 12: calculated total energy -43.866 eV/cell, calculated volume 12.49 Å³ per atom.